Below is a geometry-optimized NaY3Tc structure, with properties calculated at the PBE level.

## Properties
total magnetization	0.58	μB/f.u.
formation energy	1.4783	eV/atom
space group	Pm-3m (221)
energy	-23.69	eV/f.u.

Geometry as CIF:
```
data_NaY3Tc
_cell_length_a 5.363
_cell_length_b 5.363
_cell_length_c 5.363
_cell_angle_alpha 90.00
_cell_angle_beta 90.00
_cell_angle_gamma 90.00
_symmetry_space_group_name_H-M 'P 1'
_symmetry_Int_Tables_number 1
_symmetry_space_group_name_Hall 'P 1'
loop_
_atom_site_label
_atom_site_type_symbol
_atom_site_fract_x
_atom_site_fract_y
_atom_site_fract_z
Y1 Y 0.000 0.000 0.500
Y2 Y 0.500 0.000 0.000
Y3 Y 0.000 0.500 0.000
Na1 Na 0.000 0.000 0.000
Tc1 Tc 0.500 0.500 0.500
```


Below is a geometry-optimized Na2YTc structure, with properties calculated at the PBE level.

## Properties
total magnetization	1.55	μB/f.u.
formation energy	0.9344	eV/atom
space group	Fm-3m (225)
energy	-15.73	eV/f.u.

Geometry as CIF:
```
data_Na2YTc
_cell_length_a 5.092
_cell_length_b 5.092
_cell_length_c 5.092
_cell_angle_alpha 60.00
_cell_angle_beta 60.00
_cell_angle_gamma 60.00
_symmetry_space_group_name_H-M 'P 1'
_symmetry_Int_Tables_number 1
_symmetry_space_group_name_Hall 'P 1'
loop_
_atom_site_label
_atom_site_type_symbol
_atom_site_fract_x
_atom_site_fract_y
_atom_site_fract_z
Na1 Na 0.750 0.750 0.750
Na2 Na 0.250 0.250 0.250
Tc1 Tc 0.500 0.500 0.500
Y1 Y 0.000 0.000 0.000
```


Below is a geometry-optimized NaYTc2 structure, with properties calculated at the PBE level.

## Properties
total magnetization	3.34	μB/f.u.
formation energy	0.9993	eV/atom
space group	Fm-3m (225)
energy	-24.52	eV/f.u.

Geometry as CIF:
```
data_NaYTc2
_cell_length_a 4.804
_cell_length_b 4.804
_cell_length_c 4.804
_cell_angle_alpha 60.00
_cell_angle_beta 60.00
_cell_angle_gamma 60.00
_symmetry_space_group_name_H-M 'P 1'
_symmetry_Int_Tables_number 1
_symmetry_space_group_name_Hall 'P 1'
loop_
_atom_site_label
_atom_site_type_symbol
_atom_site_fract_x
_atom_site_fract_y
_atom_site_fract_z
Na1 Na 0.000 0.000 0.000
Tc1 Tc 0.750 0.750 0.750
Tc2 Tc 0.250 0.250 0.250
Y1 Y 0.500 0.500 0.500
```


Below is a geometry-optimized Na2YTc structure, with properties calculated at the PBE level.

## Properties
total magnetization	1.16	μB/f.u.
formation energy	0.6883	eV/atom
space group	I-42d (122)
energy	-16.72	eV/f.u.

Geometry as CIF:
```
data_Na2YTc
_cell_length_a 4.031
_cell_length_b 4.031
_cell_length_c 12.497
_cell_angle_alpha 80.72
_cell_angle_beta 80.72
_cell_angle_gamma 90.00
_symmetry_space_group_name_H-M 'P 1'
_symmetry_Int_Tables_number 1
_symmetry_space_group_name_Hall 'P 1'
loop_
_atom_site_label
_atom_site_type_symbol
_atom_site_fract_x
_atom_site_fract_y
_atom_site_fract_z
Tc1 Tc 0.000 0.000 0.000
Tc2 Tc 0.750 0.250 0.500
Na1 Na 0.875 0.895 0.750
Na2 Na 0.105 0.625 0.250
Na3 Na 0.645 0.125 0.250
Na4 Na 0.375 0.355 0.750
Y1 Y 0.250 0.750 0.500
Y2 Y 0.500 0.500 0.000
```